(1)
Material: AsRu2Br
Method: DFT, SCAN
State: single point on PBEsol structure

a b c (Å): 3.0151 3.0151 23.3055
angles (deg): 90.00 90.00 120.00
With the nearest neighbours (Å) after each atom.
Space group R-3m (No. 166, hexagonal axes)
Asymmetric unit:
As 0.0000 0.0000 0.0000 (multiplicity 3)  6 Ru 2.49
Ru 0.0000 0.0000 0.2569 (multiplicity 6)  3 As 2.49, 3 Br 2.73
Br 0.0000 0.0000 0.5000 (multiplicity 3)  6 Ru 2.73, 6 Br 3.02

Volume = 183 Å³ per cell
Crystal system = trigonal
N(E_F) = 8.2 states/eV/cell
Magnetic moment = 0.000 Bohr magnetons per cell

---

(2)
Material: AsRu2Br
Method: DFT, SCAN
State: single point on PBEsol structure

a b c (Å): 2.8321 5.0080 9.7328
angles (deg): 90.00 90.00 90.00
With the nearest neighbours (Å) after each atom.
Space group Cmm2 (No. 35)
Asymmetric unit:
As 0.0000 0.0000 0.0000 (multiplicity 2)  2 Ru 2.49
Ru 0.0000 0.0000 0.5686 (multiplicity 2)  8 Ru 2.57-2.88, 2 Br 2.58
Ru 0.0000 0.5000 0.7890 (multiplicity 2)  2 As 2.49, 2 Ru 2.57
Br 0.0000 0.5000 0.3465 (multiplicity 2)  2 Ru 2.58, 6 Br 2.83-2.88

Volume = 138 Å³ per cell
Crystal system = orthorhombic
N(E_F) = 9.7 states/eV/cell
Magnetic moment = 0.007 Bohr magnetons per cell

---

Energy comparison, zero being the most stable, in meV per atom: (1) 0; (2) 283.

---

(1)
Material: ZrSbAsBr2
Method: DFT, SCAN
State: single point on PBEsol structure

a b c (Å): 5.0833 5.0833 5.4758
angles (deg): 90.00 90.00 90.00
With the nearest neighbours (Å) after each atom.
Space group P4/mmm (No. 123)
Asymmetric unit:
Zr 0.0000 0.0000 0.0000 (multiplicity 1)  4 Br 2.54, 2 As 2.74
Sb 0.5000 0.5000 0.5000 (multiplicity 1)  4 As 3.59, 8 Br 3.74
As 0.0000 0.0000 0.5000 (multiplicity 1)  2 Zr 2.74
Br 0.0000 0.5000 0.0000 (multiplicity 2)  2 Zr 2.54

Volume = 141 Å³ per cell
Crystal system = tetragonal
N(E_F) = 2.5 states/eV/cell
Magnetic moment = 1.580 Bohr magnetons per cell

---

(2)
Material: ZrSbAsBr2
Method: DFT, SCAN
State: single point on PBEsol structure

a b c (Å): 5.2602 5.2602 5.4491
angles (deg): 90.00 90.00 90.00
With the nearest neighbours (Å) after each atom.
Space group P4/mmm (No. 123)
Asymmetric unit:
Zr 0.0000 0.0000 0.0000 (multiplicity 1)  4 As 3.72, 8 Br 3.79
Sb 0.5000 0.5000 0.5000 (multiplicity 1)  4 Br 2.63, 2 As 2.72
As 0.5000 0.5000 0.0000 (multiplicity 1)  2 Sb 2.72
Br 0.0000 0.5000 0.5000 (multiplicity 2)  2 Sb 2.63

Volume = 151 Å³ per cell
Crystal system = tetragonal
N(E_F) = 1.6 states/eV/cell
Magnetic moment = 2.137 Bohr magnetons per cell

---

Energy comparison, zero being the most stable, in meV per atom: (1) 0; (2) 772.

---

(1)
Material: ScAsBr
Method: DFT, SCAN
State: single point on PBEsol structure

a b c (Å): 3.2089 3.2089 13.0198
angles (deg): 90.00 90.00 90.00
With the nearest neighbours (Å) after each atom.
Space group I4mm (No. 107)
Asymmetric unit:
Sc 0.0000 0.0000 0.0000 (multiplicity 2)  4 Br 2.85, 4 As 2.87
As 0.0000 0.0000 0.6347 (multiplicity 2)  4 Sc 2.87, 4 As 3.21
Br 0.0000 0.0000 0.3676 (multiplicity 2)  4 Sc 2.85

Volume = 134 Å³ per cell
Crystal system = tetragonal
N(E_F) = 1.6 states/eV/cell
Magnetic moment = 0.000 Bohr magnetons per cell

---

(2)
Material: ScAsBr
Method: DFT, SCAN
State: single point on PBEsol structure

a b c (Å): 3.5296 3.5296 6.6727
angles (deg): 90.00 90.00 120.00
With the nearest neighbours (Å) after each atom.
Space group P3m1 (No. 156)
Asymmetric unit:
Sc 0.0000 0.0000 0.0000 (multiplicity 1)  3 Br 2.69, 3 As 2.71
As 0.3333 0.6667 0.7312 (multiplicity 1)  3 Sc 2.71
Br 0.6667 0.3333 0.2637 (multiplicity 1)  3 Sc 2.69

Volume = 72 Å³ per cell
Crystal system = trigonal
N(E_F) = 1.5 states/eV/cell
Magnetic moment = 0.000 Bohr magnetons per cell

---

Energy comparison, zero being the most stable, in meV per atom: (1) 104; (2) 0.

---

(1)
Material: AsSeBr2
Method: DFT, SCAN
State: single point on PBEsol structure

a b c (Å): 3.5109 4.4254 13.5312
angles (deg): 90.00 90.00 90.00
With the nearest neighbours (Å) after each atom.
Space group Immm (No. 71)
Asymmetric unit:
As 0.0000 0.0000 0.0000 (multiplicity 2)  4 Br 2.80, 4 Se 2.82
Se 0.0000 0.0000 0.5000 (multiplicity 2)  4 As 2.82, 4 Br 3.11
Br 0.0000 0.5000 0.3384 (multiplicity 4)  2 As 2.80, 2 Se 3.11

Volume = 210 Å³ per cell
Crystal system = orthorhombic
N(E_F) = 3.9 states/eV/cell
Magnetic moment = 0.002 Bohr magnetons per cell

---

(2)
Material: AsSeBr2
Method: DFT, SCAN
State: single point on PBEsol structure

a b c (Å): 3.9507 3.9507 7.1633
angles (deg): 90.00 90.00 90.00
With the nearest neighbours (Å) after each atom.
Space group P4mm (No. 99)
Asymmetric unit:
As 0.0000 0.0000 0.0000 (multiplicity 1)  1 Br 2.36
Se 0.5000 0.5000 0.9827 (multiplicity 1)  1 Br 2.37
Br 0.0000 0.0000 0.6709 (multiplicity 1)  1 As 2.36
Br 0.5000 0.5000 0.3132 (multiplicity 1)  1 Se 2.37

Volume = 112 Å³ per cell
Crystal system = tetragonal
N(E_F) = 1.2 states/eV/cell
Magnetic moment = 0.000 Bohr magnetons per cell

---

(3)
Material: AsSeBr2
Method: DFT, SCAN
State: single point on PBEsol structure

a b c (Å): 6.9561 6.9561 6.9561
angles (deg): 90.00 90.00 90.00
With the nearest neighbours (Å) after each atom.
Space group F-43m (No. 216)
Asymmetric unit:
As 0.0000 0.0000 0.0000 (multiplicity 4)  4 Se 3.01, 4 Br 3.01
Se 0.2500 0.2500 0.2500 (multiplicity 4)  4 Br 3.01, 4 As 3.01
Br 0.0000 0.0000 0.5000 (multiplicity 4)  4 Br 3.01, 4 Se 3.01
Br 0.2500 0.2500 0.7500 (multiplicity 4)  4 As 3.01, 4 Br 3.01

Volume = 337 Å³ per cell
Crystal system = cubic
N(E_F) = 8.6 states/eV/cell
Magnetic moment = 0.000 Bohr magnetons per cell

---

(4)
Material: AsSeBr2
Method: DFT, SCAN
State: single point on PBEsol structure

a b c (Å): 3.3994 4.4160 5.9767
angles (deg): 90.00 90.00 90.00
With the nearest neighbours (Å) after each atom.
Space group Pmmm (No. 47)
Asymmetric unit:
As 0.0000 0.0000 0.0000 (multiplicity 1)  4 Br 2.79
Se 0.5000 0.0000 0.5000 (multiplicity 1)  4 Br 2.79
Br 0.0000 0.5000 0.5000 (multiplicity 1)  4 Se 2.79
Br 0.5000 0.5000 0.0000 (multiplicity 1)  4 As 2.79

Volume = 90 Å³ per cell
Crystal system = orthorhombic
N(E_F) = 2.4 states/eV/cell
Magnetic moment = 0.001 Bohr magnetons per cell

---

Energy comparison, zero being the most stable, in meV per atom: (1) 283; (2) 0; (3) 585; (4) 526.

---

(1)
Material: SnAsSeBr2
Method: DFT, SCAN
State: single point on PBEsol structure

a b c (Å): 5.3533 5.3533 5.4202
angles (deg): 90.00 90.00 90.00
With the nearest neighbours (Å) after each atom.
Space group P4/mmm (No. 123)
Asymmetric unit:
Sn 0.0000 0.0000 0.0000 (multiplicity 1)  4 Br 2.68, 2 Se 2.71
As 0.5000 0.5000 0.5000 (multiplicity 1)  4 Se 3.79, 8 Br 3.81
Se 0.0000 0.0000 0.5000 (multiplicity 1)  2 Sn 2.71
Br 0.0000 0.5000 0.0000 (multiplicity 2)  2 Sn 2.68

Volume = 155 Å³ per cell
Crystal system = tetragonal
N(E_F) = 2.2 states/eV/cell
Magnetic moment = 1.912 Bohr magnetons per cell

---

(2)
Material: SnAsSeBr2
Method: DFT, SCAN
State: single point on PBEsol structure

a b c (Å): 5.2438 5.2438 5.5703
angles (deg): 90.00 90.00 90.00
With the nearest neighbours (Å) after each atom.
Space group P4/mmm (No. 123)
Asymmetric unit:
Sn 0.0000 0.0000 0.0000 (multiplicity 1)  4 Br 2.62, 2 As 2.79
As 0.0000 0.0000 0.5000 (multiplicity 1)  2 Sn 2.79
Se 0.5000 0.5000 0.5000 (multiplicity 1)  4 As 3.71, 8 Br 3.83
Br 0.0000 0.5000 0.0000 (multiplicity 2)  2 Sn 2.62

Volume = 153 Å³ per cell
Crystal system = tetragonal
N(E_F) = 2.1 states/eV/cell
Magnetic moment = 0.043 Bohr magnetons per cell

---

Energy comparison, zero being the most stable, in meV per atom: (1) 0; (2) 101.

---

(1)
Material: TaAsSeBr2
Method: DFT, SCAN
State: single point on PBEsol structure

a b c (Å): 4.8681 4.8681 5.2367
angles (deg): 90.00 90.00 90.00
With the nearest neighbours (Å) after each atom.
Space group P4/mmm (No. 123)
Asymmetric unit:
Ta 0.0000 0.0000 0.0000 (multiplicity 1)  4 Br 2.43, 2 As 2.62
As 0.0000 0.0000 0.5000 (multiplicity 1)  2 Ta 2.62
Se 0.5000 0.5000 0.5000 (multiplicity 1)  4 As 3.44, 8 Br 3.57
Br 0.0000 0.5000 0.0000 (multiplicity 2)  2 Ta 2.43

Volume = 124 Å³ per cell
Crystal system = tetragonal
N(E_F) = 3.9 states/eV/cell
Magnetic moment = 0.001 Bohr magnetons per cell

---

(2)
Material: TaAsSeBr2
Method: DFT, SCAN
State: single point on PBEsol structure

a b c (Å): 5.0405 5.0405 5.0856
angles (deg): 90.00 90.00 90.00
With the nearest neighbours (Å) after each atom.
Space group P4/mmm (No. 123)
Asymmetric unit:
Ta 0.0000 0.0000 0.0000 (multiplicity 1)  4 Se 3.56, 8 Br 3.58
As 0.5000 0.5000 0.5000 (multiplicity 1)  4 Br 2.52, 2 Se 2.54
Se 0.5000 0.5000 0.0000 (multiplicity 1)  2 As 2.54
Br 0.0000 0.5000 0.5000 (multiplicity 2)  2 As 2.52

Volume = 129 Å³ per cell
Crystal system = tetragonal
N(E_F) = 5.3 states/eV/cell
Magnetic moment = 3.549 Bohr magnetons per cell

---

Energy comparison, zero being the most stable, in meV per atom: (1) 0; (2) 764.